(1)
Density functional theory data (PBE) for a relaxed Zr6SN crystal.

Calculated values
- ΔE_f (raw): -0.84 eV/atom
- Raw total energy: -0.3237 Ha/atom
- Magnetic moment: 0.0 μB/cell
- Mass density: 6.08 g/cm3

Lattice parameters (Å, degrees): 5.8159 5.8159 11.0567 90.00 90.00 120.00
With the nearest neighbours (Å) after each atom.
Element x y z (fractional)
N: 0.0000 0.0000 0.5000  6 Zr 2.26
N: 0.0000 0.0000 0.0000  6 Zr 2.26
S: 0.3333 0.6667 0.2500  6 Zr 2.50
S: 0.6667 0.3333 0.7500  6 Zr 2.50
Zr: 0.3250 0.0076 0.1147  1 N 2.26, 1 S 2.50
Zr: 0.0076 0.6826 0.8853  1 N 2.26, 1 S 2.50
Zr: 0.6826 0.0076 0.3853  1 N 2.26, 1 S 2.50
Zr: 0.3174 0.3250 0.8853  1 N 2.26, 1 S 2.50
Zr: 0.6750 0.6826 0.6147  1 N 2.26, 1 S 2.50
Zr: 0.6750 0.9924 0.8853  1 N 2.26, 1 S 2.50
Zr: 0.6826 0.6750 0.1147  1 N 2.26, 1 S 2.50
Zr: 0.0076 0.3250 0.6147  1 N 2.26, 1 S 2.50
Zr: 0.3250 0.3174 0.3853  1 N 2.26, 1 S 2.50
Zr: 0.9924 0.3174 0.1147  1 N 2.26, 1 S 2.50
Zr: 0.3174 0.9924 0.6147  1 N 2.26, 1 S 2.50
Zr: 0.9924 0.6750 0.3853  1 N 2.26, 1 S 2.50

=====

(2)
Density functional theory data (PBE) for a relaxed Zr2S2N crystal.

Calculated values
- Polymorph energy (0 for the lowest one): 1222 meV/atom
- ΔE_f (raw): -0.28 eV/atom
- Raw total energy: -0.2577 Ha/atom
- Magnetic moment: 0.0 μB/cell
- Mass density: 5.16 g/cm3

Lattice parameters (Å, degrees): 4.8668 4.8668 4.9358 60.46 60.46 90.00
With the nearest neighbours (Å) after each atom.
Element x y z (fractional)
S: 0.6586 0.6586 0.6827  1 S 2.25, 1 N 2.42
S: 0.3414 0.3414 0.3173  1 S 2.25, 1 N 2.42
Zr: 0.7500 0.2500 0.5000  4 S 2.52
Zr: 0.2500 0.7500 0.5000  4 S 2.52
N: 0.0000 0.0000 0.0000  2 S 2.42

=====

(3)
Density functional theory data (PBE) for a relaxed Zr2SN crystal.

Calculated values
- Polymorph energy (0 for the lowest one): 325 meV/atom
- ΔE_f (raw): -1.24 eV/atom
- Raw total energy: -0.3170 Ha/atom
- Magnetic moment: 0.0 μB/cell
- Mass density: 5.25 g/cm3

Lattice parameters (Å, degrees): 6.7002 6.0901 7.0819 90.00 90.00 90.00
With the nearest neighbours (Å) after each atom.
Element x y z (fractional)
Zr: 0.8033 0.9408 0.8989  2 N 2.16-2.17
Zr: 0.9302 0.9348 0.3859  2 N 2.13-2.14
Zr: 0.8033 0.4408 0.6011  2 N 2.16-2.17
Zr: 0.9302 0.4348 0.1141  2 N 2.13-2.14
Zr: 0.4302 0.0652 0.6141  2 N 2.13-2.14
Zr: 0.3033 0.5592 0.3989  2 N 2.16-2.17
Zr: 0.3033 0.0592 0.1011  2 N 2.16-2.17
Zr: 0.4302 0.5652 0.8859  2 N 2.13-2.14
S: 0.0566 0.1344 0.6765  4 Zr 2.54-2.60
S: 0.0566 0.6344 0.8235  4 Zr 2.54-2.60
S: 0.5566 0.8656 0.3235  4 Zr 2.54-2.60
S: 0.5566 0.3656 0.1765  4 Zr 2.54-2.60
N: 0.9830 0.5899 0.3800  4 Zr 2.13-2.17
N: 0.9830 0.0899 0.1200  4 Zr 2.13-2.17
N: 0.4830 0.9101 0.8800  4 Zr 2.13-2.17
N: 0.4830 0.4101 0.6200  4 Zr 2.13-2.17

=====

(4)
Density functional theory data (PBE) for a relaxed ZrSN crystal.

Calculated values
- Polymorph energy (0 for the lowest one): 0 meV/atom
- ΔE_f (raw): -1.22 eV/atom
- Raw total energy: -0.3022 Ha/atom
- Magnetic moment: 0.0 μB/cell
- Mass density: 4.79 g/cm3

Lattice parameters (Å, degrees): 3.6060 4.3815 6.3863 71.55 84.01 88.63
With the nearest neighbours (Å) after each atom.
Element x y z (fractional)
S: 0.9148 0.7190 0.0202  1 S 2.09
S: 0.0852 0.2810 0.9798  1 S 2.09
N: 0.2582 0.2644 0.4611  4 Zr 2.08-2.29
N: 0.7418 0.7356 0.5389  4 Zr 2.08-2.29
Zr: 0.2599 0.8153 0.3540  4 N 2.08-2.29
Zr: 0.7401 0.1847 0.6460  4 N 2.08-2.29